(1)
4
Lattice="0.000 3.469 3.469 3.469 0.000 3.469 3.469 3.469 0.000" Properties=species:S:1:pos:R:3 comment="CaCeCuNi PBE-GGA optimized geometry" energy_ev_per_atom=-4.531 ef_ev_per_atom=-0.078 crystal_system=cubic spacegroup=F-43m pbc="T T T"
Ca 0.000 0.000 0.000
Ce 3.469 3.469 3.469
Cu 1.734 1.734 1.734
Ni 5.203 5.203 5.203

(2)
14
Lattice="3.040 -4.971 0.000 3.040 4.971 0.000 0.000 0.000 6.846" Properties=species:S:1:pos:R:3 comment="CaCeCuO4 PBE-GGA optimized geometry" raw_formation_energy_ev_per_atom=-2.257 energy_ev_per_atom=-6.809 crystal_system=orthorhombic spacegroup=Cmcm pbc="T T T"
Ca 0.000 0.000 0.000
Ca 0.000 0.000 3.423
Ce 3.040 1.632 5.135
Ce 3.040 -1.632 1.712
Cu 3.040 1.448 1.712
Cu 3.040 -1.448 5.135
O 3.040 2.623 0.176
O 3.040 2.623 3.247
O 1.617 0.035 1.712
O 1.617 -0.035 5.135
O 4.464 0.035 1.712
O 4.464 -0.035 5.135
O 3.040 -2.623 3.599
O 3.040 -2.623 6.670

(3)
4
Lattice="0.000 3.776 3.776 3.776 0.000 3.776 3.776 3.776 0.000" Properties=species:S:1:pos:R:3 comment="CaCeCuPb PBE-GGA optimized geometry" energy_ev_per_atom=-4.178 ef_ev_per_atom=-0.243 crystal_system=cubic spacegroup=F-43m pbc="T T T"
Ca 0.000 0.000 0.000
Ce 3.776 3.776 3.776
Cu 5.664 5.664 5.664
Pb 1.888 1.888 1.888